KSr2Ca at its PBEsol-relaxed geometry. Source: the Alexandria database, functional meta-GGA SCAN.

abc: 4.011 4.011 13.539
angles: 90.00 90.00 109.43
Element x y z (fractional)
Sr  0.500  0.500  0.742
K  0.500  0.500  0.257
Sr  0.000  0.000  0.987
Ca  0.000  0.000  0.513

Properties
Space group: Cmm2, No. 35
Crystal system: orthorhombic
Energy above the lowest structure with this stoichiometry in meV/atom: 12

KCr2Mo at its PBEsol-relaxed geometry. Source: the Alexandria database, functional meta-GGA SCAN.

abc: 2.523 2.523 10.363
angles: 90.00 90.00 90.00
Element x y z (fractional)
Cr  0.000  0.000  0.707
Mo  0.500  0.500  0.500
Cr  0.000  0.000  0.293
K  0.500  0.500  0.000

Properties
Space group: P4/mmm, No. 123
Crystal system: tetragonal
Energy above the lowest structure with this stoichiometry in meV/atom: 347

BaGa2GeSe6 at its PBEsol-relaxed geometry. Source: the Alexandria database, functional meta-GGA SCAN.

abc: 6.452 6.514 6.568
angles: 99.53 101.80 99.09
Element x y z (fractional)
Ga  0.816  0.536  0.403
Se  0.135  0.592  0.259
Ge  0.396  0.823  0.545
Se  0.453  0.742  0.888
Se  0.898  0.451  0.748
Se  0.584  0.251  0.136
Se  0.250  0.137  0.576
Se  0.734  0.888  0.455
Ga  0.548  0.396  0.821
Ba  0.003  0.999  0.986

Properties
Space group: P1, No. 1
Crystal system: triclinic
ΔE_f (raw) in eV per atom: -0.94

InH3S at its PBEsol-relaxed geometry. Source: the Alexandria database, functional meta-GGA SCAN.

abc: 3.714 3.714 3.714
angles: 90.00 90.00 90.00
Element x y z (fractional)
H  0.000  0.500  0.000
S  0.000  0.000  0.000
H  0.000  0.000  0.500
In  0.500  0.500  0.500
H  0.500  0.000  0.000

Properties
Space group: Pm-3m, No. 221
Crystal system: cubic
Total energy in eV for the cell shown: -49.99

Mg2NiAg at its PBEsol-relaxed geometry. Source: the Alexandria database, functional meta-GGA SCAN.

abc: 2.924 3.863 5.668
angles: 90.00 90.00 90.00
Element x y z (fractional)
Ag  0.500  0.500  0.747
Mg  0.000  0.000  0.976
Mg  0.500  0.500  0.289
Ni  0.000  0.000  0.488

Properties
Space group: Pmm2, No. 25
Crystal system: orthorhombic
Total energy in eV for the cell shown: -57.60

ScIn2Au at its PBEsol-relaxed geometry. Source: the Alexandria database, functional meta-GGA SCAN.

abc: 3.459 5.199 5.089
angles: 102.93 90.00 109.43
Element x y z (fractional)
In  0.249  0.498  0.749
Au  0.754  0.508  0.272
In  0.011  0.022  0.005
Sc  0.487  0.973  0.474

Properties
Space group: Cm, No. 8
Crystal system: monoclinic
Total energy in eV for the cell shown: -151.95

FeCo4 at its PBEsol-relaxed geometry. Source: the Alexandria database, functional meta-GGA SCAN.

abc: 3.927 3.927 4.595
angles: 64.71 64.71 60.00
Last column: magnetic moment on the atom in μB.
Element x y z (fractional)
Co  0.399  0.399  0.804  1.83
Fe  0.000  0.000  0.000  2.90
Co  0.805  0.805  0.585  1.92
Co  0.195  0.195  0.415  1.92
Co  0.601  0.601  0.196  1.83

Properties
Space group: R-3m, No. 166
Crystal system: trigonal
Energy above the lowest structure with this stoichiometry in meV/atom: 7

BeInRe2 at its PBEsol-relaxed geometry. Source: the Alexandria database, functional meta-GGA SCAN.

abc: 2.783 4.893 4.893
angles: 116.10 90.00 90.00
Element x y z (fractional)
Re  0.000  0.500  0.000
Re  0.000  0.000  0.500
Be  0.500  0.000  0.000
In  0.500  0.500  0.500

Properties
Space group: Cmmm, No. 65
Crystal system: orthorhombic
Energy above the lowest structure with this stoichiometry in meV/atom: 309

CaTePb2 at its PBEsol-relaxed geometry. Source: the Alexandria database, functional meta-GGA SCAN.

abc: 4.414 4.414 6.377
angles: 90.00 90.00 90.03
Element x y z (fractional)
Pb  0.752  0.752  0.000
Pb  0.248  0.248  0.000
Ca  0.500  0.500  0.500
Te  0.000  0.000  0.500

Properties
Space group: Cmmm, No. 65
Crystal system: orthorhombic
ΔE_f (raw) in eV per atom: -0.58

Zn2NiMo at its PBEsol-relaxed geometry. Source: the Alexandria database, functional meta-GGA SCAN.

abc: 2.672 2.672 8.696
angles: 81.16 81.16 60.00
Element x y z (fractional)
Zn  0.743  0.743  0.771
Zn  0.257  0.257  0.229
Ni  0.000  0.000  0.000
Mo  0.500  0.500  0.500

Properties
Space group: R-3m, No. 166
Crystal system: trigonal
Energy above the lowest structure with this stoichiometry in meV/atom: 147

IrPtS2N at its PBEsol-relaxed geometry. Source: the Alexandria database, functional meta-GGA SCAN.

abc: 3.533 4.776 4.776
angles: 90.00 90.00 90.00
Element x y z (fractional)
Ir  0.500  0.500  0.500
N  0.500  0.000  0.000
S  0.000  0.000  0.500
Pt  0.000  0.000  0.000
S  0.000  0.500  0.000

Properties
Space group: P4/mmm, No. 123
Crystal system: tetragonal
ΔE_f (raw) in eV per atom: 1.30

Y2ZnNi2 at its PBEsol-relaxed geometry. Source: the Alexandria database, functional meta-GGA SCAN.

abc: 5.124 5.124 5.124
angles: 90.98 119.43 119.43
Element x y z (fractional)
Ni  0.000  0.657  0.657
Ni  0.000  0.343  0.343
Y  0.500  0.250  0.750
Zn  0.000  0.000  0.000
Y  0.500  0.750  0.250

Properties
Space group: I4/mmm, No. 139
Crystal system: tetragonal
Total energy in eV for the cell shown: -102.89